Computed, not measured: a relaxed structure of NbCoIrS2 at the PBE level of DFT.

Values from the calculation:
Formation energy without anion corrections in kJ/mol of formula units: 467
Space-group type: No. 123

Cell: 4.557 4.557 4.519 Å, 90.00 90.00 90.00°
Fractional positions:
Nb1 0.000 0.000 0.000
Co1 0.500 0.500 0.000
Ir1 0.500 0.500 0.500
S1 0.000 0.500 0.500
S2 0.500 0.000 0.500

Computed, not measured: a relaxed structure of NbCo2IrSe at the PBE level of DFT.

Values from the calculation:
Formation energy without anion corrections in kJ/mol of formula units: 711
Space-group type: No. 123

Cell: 4.388 4.388 4.833 Å, 90.00 90.00 90.00°
Fractional positions:
Nb1 0.000 0.000 0.000
Co1 0.000 0.500 0.000
Co2 0.500 0.000 0.000
Ir1 0.500 0.500 0.500
Se1 0.000 0.000 0.500

Computed, not measured: a relaxed structure of Nb2CoSnIr at the PBE level of DFT.

Values from the calculation:
Formation energy in meV/atom: 820
Space-group type: No. 123

Cell: 4.849 4.849 4.608 Å, 90.00 90.00 90.00°
Fractional positions:
Nb1 0.000 0.500 0.000
Nb2 0.500 0.000 0.000
Co1 0.000 0.000 0.500
Sn1 0.500 0.500 0.500
Ir1 0.000 0.000 0.000

Computed, not measured: a relaxed structure of TaNb2CoIr at the PBE level of DFT.

Values from the calculation:
Formation energy in meV/atom: 1387
Space-group type: No. 123

Cell: 4.809 4.809 4.813 Å, 90.00 90.00 90.00°
Fractional positions:
Ta1 0.000 0.000 0.000
Nb1 0.000 0.500 0.500
Nb2 0.500 0.000 0.500
Co1 0.500 0.500 0.000
Ir1 0.000 0.000 0.500

Computed, not measured: a relaxed structure of TiNbCoIr at the PBE level of DFT.

Values from the calculation:
Formation energy in meV/atom: -375
Space-group type: No. 216

Cell: 6.230 6.230 6.230 Å, 90.00 90.00 90.00°
Fractional positions:
Ti1 0.000 0.000 0.000
Ti2 0.000 0.500 0.500
Ti3 0.500 0.000 0.500
Ti4 0.500 0.500 0.000
Nb1 0.000 0.000 0.500
Nb2 0.000 0.500 0.000
Nb3 0.500 0.000 0.000
Nb4 0.500 0.500 0.500
Co1 0.250 0.250 0.750
Co2 0.250 0.750 0.250
Co3 0.750 0.250 0.250
Co4 0.750 0.750 0.750
Ir1 0.250 0.250 0.250
Ir2 0.250 0.750 0.750
Ir3 0.750 0.250 0.750
Ir4 0.750 0.750 0.250

Computed, not measured: a relaxed structure of TmNbCoIr at the PBE level of DFT.

Values from the calculation:
Formation energy in meV/atom: -315
Space-group type: No. 216

Cell: 6.498 6.498 6.498 Å, 90.00 90.00 90.00°
Fractional positions:
Tm1 0.000 0.000 0.000
Tm2 0.000 0.500 0.500
Tm3 0.500 0.000 0.500
Tm4 0.500 0.500 0.000
Nb1 0.000 0.000 0.500
Nb2 0.000 0.500 0.000
Nb3 0.500 0.000 0.000
Nb4 0.500 0.500 0.500
Co1 0.250 0.250 0.250
Co2 0.250 0.750 0.750
Co3 0.750 0.250 0.750
Co4 0.750 0.750 0.250
Ir1 0.250 0.250 0.750
Ir2 0.250 0.750 0.250
Ir3 0.750 0.250 0.250
Ir4 0.750 0.750 0.750

Computed, not measured: a relaxed structure of NbVCoIr at the PBE level of DFT.

Values from the calculation:
Formation energy in meV/atom: -176
Space-group type: No. 216

Cell: 6.073 6.073 6.073 Å, 90.00 90.00 90.00°
Fractional positions:
Nb1 0.000 0.000 0.000
Nb2 0.000 0.500 0.500
Nb3 0.500 0.000 0.500
Nb4 0.500 0.500 0.000
V1 0.250 0.250 0.750
V2 0.250 0.750 0.250
V3 0.750 0.250 0.250
V4 0.750 0.750 0.750
Co1 0.250 0.250 0.250
Co2 0.250 0.750 0.750
Co3 0.750 0.250 0.750
Co4 0.750 0.750 0.250
Ir1 0.000 0.000 0.500
Ir2 0.000 0.500 0.000
Ir3 0.500 0.000 0.000
Ir4 0.500 0.500 0.500

Computed, not measured: a relaxed structure of Y2NbCoIr at the PBE level of DFT.

Values from the calculation:
Formation energy in meV/atom: 483
Space-group type: No. 123

Cell: 5.118 5.118 4.427 Å, 90.00 90.00 90.00°
Fractional positions:
Y1 0.000 0.500 0.000
Y2 0.500 0.000 0.000
Nb1 0.000 0.000 0.500
Co1 0.500 0.500 0.000
Ir1 0.500 0.500 0.500

N(E_F) (states/eV/atom)
1.31, 0.86, 1.23, 1.65, 1.33, 0.82, 1.51, 0.87